No. 1
DFT (PBE) results for a relaxed MnCr2Br crystal.

Values from the calculation:
DOS at the Fermi energy   2.27 states/eV/cell
Space-group type   Imm2, No. 44
Density   5.9 g/cm³
Energy relative to the elements, uncorrected   1.229 eV per formula unit
Polymorph energy (0 for the lowest one)   0.000 eV per atom

Lattice parameters (Å, degrees): 7.339 7.339 7.339 155.65 155.63 34.72
Fractional positions:
Mn 0.000 0.000 0.000
Cr 0.197 0.197 0.000
Cr 0.601 0.601 0.000
Br 0.351 0.851 0.500

No. 2
DFT (PBE) results for a relaxed MnCrBr2 crystal.

Values from the calculation:
DOS at the Fermi energy   6.41 states/eV/cell
Space-group type   I-42d, No. 122
Density   5.6 g/cm³
Energy relative to the elements, uncorrected   3.600 eV per formula unit
Polymorph energy (0 for the lowest one)   0.871 eV per atom

Lattice parameters (Å, degrees): 6.610 6.610 6.610 131.64 131.64 70.81
Fractional positions:
Mn 0.000 0.000 0.000
Mn 0.750 0.250 0.500
Cr 0.250 0.750 0.500
Cr 0.500 0.500 0.000
Br 0.120 0.625 0.995
Br 0.375 0.370 0.495
Br 0.630 0.125 0.005
Br 0.875 0.880 0.505

No. 3
DFT (PBE) results for a relaxed MnCrBr2 crystal.

Values from the calculation:
DOS at the Fermi energy   4.52 states/eV/cell
Space-group type   C2/m, No. 12
Density   4.3 g/cm³
Energy relative to the elements, uncorrected   0.466 eV per formula unit
Polymorph energy (0 for the lowest one)   0.088 eV per atom

Lattice parameters (Å, degrees): 7.258 7.258 4.276 107.01 107.01 28.84
Fractional positions:
Mn 0.000 0.000 0.000
Cr 0.500 0.500 0.500
Br 0.134 0.134 0.634
Br 0.866 0.866 0.366

No. 4
DFT (PBE) results for a relaxed MnCrBr2 crystal.

Values from the calculation:
DOS at the Fermi energy   3.24 states/eV/cell
Space-group type   Immm, No. 71
Density   4.6 g/cm³
Energy relative to the elements, uncorrected   1.123 eV per formula unit
Polymorph energy (0 for the lowest one)   0.252 eV per atom

Lattice parameters (Å, degrees): 5.583 5.583 5.583 143.14 107.24 84.46
Fractional positions:
Mn 0.000 0.000 0.000
Cr 0.500 0.500 0.000
Br 0.238 0.738 0.500
Br 0.762 0.262 0.500

No. 5
DFT (PBE) results for a relaxed MnCrBr4 crystal.

Values from the calculation:
DOS at the Fermi energy   4.76 states/eV/cell
Space-group type   P2/m, No. 10
Density   4.0 g/cm³
Energy relative to the elements, uncorrected   -4.102 eV per formula unit
Polymorph energy (0 for the lowest one)   0.000 eV per atom

Lattice parameters (Å, degrees): 6.662 3.885 6.913 90.00 94.22 90.00
Fractional positions:
Mn 0.000 0.000 0.000
Cr 0.500 0.500 0.000
Br 0.189 0.500 0.217
Br 0.317 0.000 0.784
Br 0.683 0.000 0.216
Br 0.811 0.500 0.783

No. 6
DFT (PBE) results for a relaxed MnCr2Br crystal.

Values from the calculation:
DOS at the Fermi energy   2.61 states/eV/cell
Space-group type   C2/m, No. 12
Density   5.3 g/cm³
Energy relative to the elements, uncorrected   2.827 eV per formula unit
Polymorph energy (0 for the lowest one)   0.399 eV per atom

Lattice parameters (Å, degrees): 4.677 4.677 5.576 98.25 98.25 38.11
Fractional positions:
Mn 0.000 0.000 0.000
Cr 0.283 0.283 0.134
Cr 0.717 0.717 0.866
Br 0.500 0.500 0.500

No. 7
DFT (PBE) results for a relaxed MnCrBr crystal.

Values from the calculation:
DOS at the Fermi energy   1.74 states/eV/cell
Space-group type   P-6m2, No. 187
Density   5.7 g/cm³
Energy relative to the elements, uncorrected   1.863 eV per formula unit
Polymorph energy (0 for the lowest one)   0.379 eV per atom

Lattice parameters (Å, degrees): 4.439 4.439 3.183 90.00 90.00 120.00
Fractional positions:
Mn 0.000 0.000 0.000
Cr 0.333 0.667 0.500
Br 0.667 0.333 0.000

No. 8
DFT (PBE) results for a relaxed MnCr2Br crystal.

Values from the calculation:
DOS at the Fermi energy   2.18 states/eV/cell
Space-group type   R3m, No. 160
Density   5.9 g/cm³
Energy relative to the elements, uncorrected   1.795 eV per formula unit
Polymorph energy (0 for the lowest one)   0.141 eV per atom

Lattice parameters (Å, degrees): 8.006 8.006 8.006 22.70 22.70 22.70
Fractional positions:
Mn 0.000 0.000 0.000
Cr 0.484 0.484 0.484
Cr 0.745 0.745 0.745
Br 0.245 0.245 0.245